# 1
Material: PrTmScGa
Method: DFT, PBE
State: relaxed

The structure in POSCAR format:
```
PrTmScGa
1.0
-0.429 1.220 5.099
3.952 -1.070 3.302
2.874 3.916 2.018
Ga Sc Tm Pr
1 1 1 1
direct
0.250 0.250 0.250
0.750 0.750 0.750
0.000 0.000 0.000
0.500 0.500 0.500
```

## Properties
density = 6.9 g/cm³
calculated formation energy = -0.13 eV per atom
space-group type = F-43m, No. 216

=====

# 2
Material: TbPr2SmHo2
Method: DFT, PBE
State: relaxed

The structure in POSCAR format:
```
TbPr2SmHo2
1.0
-5.261 2.121 0.684
-2.537 -4.868 -4.420
-1.486 -6.145 7.621
Pr Ho Tb Sm
4 4 2 2
direct
0.000 0.758 0.829
0.000 0.258 0.171
0.500 0.508 0.000
0.500 0.008 0.000
0.000 0.258 0.834
0.500 0.257 0.334
0.500 0.757 0.666
0.000 0.758 0.166
0.500 0.257 0.663
0.500 0.757 0.337
0.000 0.007 0.500
0.000 0.507 0.500
```

## Properties
density = 7.7 g/cm³
calculated formation energy = 0.07 eV per atom
space-group type = Pmc2_1, No. 26

=====

# 3
Material: ZrTeMo2
Method: DFT, PBE
State: relaxed

The structure in POSCAR format:
```
ZrTeMo2
1.0
-3.217 -1.630 -4.223
1.200 -4.749 -2.616
-1.159 2.234 4.950
Mo Te Zr
2 1 1
direct
0.012 0.012 0.000
0.247 0.747 0.500
0.488 0.488 0.000
0.754 0.254 0.500
```

## Properties
density = 9.3 g/cm³
formation energy from raw total energies = 0.0670 eV per atom
space-group type = Imm2, No. 44

=====

# 4
Material: CaScB2
Method: DFT, PBE
State: relaxed

The structure in POSCAR format:
```
CaScB2
1.0
-0.676 -3.316 2.802
1.353 0.334 4.167
-2.940 0.424 3.237
B Ca Sc
2 1 1
direct
0.250 0.250 0.250
0.750 0.750 0.750
0.000 0.000 0.000
0.500 0.500 0.500
```

## Properties
density = 3.0 g/cm³
energy above the lowest structure with this stoichiometry = 0 meV per atom
calculated formation energy = 0.46 eV per atom
space-group type = Fm-3m, No. 225

=====

# 5
Material: Y2TePt2
Method: DFT, PBE
State: relaxed

The structure in POSCAR format:
```
Y2TePt2
1.0
4.982 0.000 0.000
0.000 4.982 0.000
2.491 2.491 5.239
Pt Y Te
2 2 1
direct
0.376 0.376 0.248
0.624 0.624 0.752
0.250 0.750 0.500
0.750 0.250 0.500
0.000 0.000 0.000
```

## Properties
density = 8.9 g/cm³
energy above the lowest structure with this stoichiometry = 210 meV per atom
formation energy from raw total energies = -0.9625 eV per atom
space-group type = I4/mmm, No. 139

=====

# 6
Material: Zn2CdSb
Method: DFT, PBE
State: relaxed

The structure in POSCAR format:
```
Zn2CdSb
1.0
-1.405 2.615 4.304
-5.214 -0.379 -0.027
3.846 -3.541 -0.041
Sb Zn Cd
1 2 1
direct
0.250 0.750 0.500
0.997 0.997 0.000
0.503 0.503 0.000
0.750 0.250 0.500
```

## Properties
density = 7.1 g/cm³
energy above the lowest structure with this stoichiometry = 64 meV per atom
formation energy from raw total energies = 0.1611 eV per atom
space-group type = Immm, No. 71

=====

# 7
Material: GeBiAu4
Method: DFT, PBE
State: relaxed

The structure in POSCAR format:
```
GeBiAu4
1.0
-1.731 -5.043 2.999
6.369 -1.585 1.012
-3.293 3.959 5.132
Au Bi Ge
8 2 2
direct
0.284 0.723 0.446
0.590 0.325 0.209
0.000 0.201 0.000
0.716 0.277 0.554
0.000 0.799 0.000
0.590 0.885 0.209
0.410 0.115 0.791
0.410 0.675 0.791
0.199 0.208 0.417
0.801 0.792 0.583
0.739 0.471 0.942
0.261 0.529 0.058
```

## Properties
density = 13.5 g/cm³
energy above the lowest structure with this stoichiometry = 5 meV per atom
calculated formation energy = 0.07 eV per atom
space-group type = C2/m, No. 12

=====

# 8
Material: CeMgHgPb
Method: DFT, PBE
State: relaxed

The structure in POSCAR format:
```
CeMgHgPb
1.0
-2.376 1.429 4.521
1.939 -1.651 4.652
2.363 3.450 3.263
Ce Hg Pb Mg
1 1 1 1
direct
0.500 0.500 0.500
0.250 0.250 0.250
0.750 0.750 0.750
0.000 0.000 0.000
```

## Properties
density = 9.0 g/cm³
calculated formation energy = -0.31 eV per atom
space-group type = F-43m, No. 216